Record 1
ZrAl2Tc | PBE | relaxed

Lattice parameters (Å, degrees): 6.410 6.410 6.410 90.00 90.00 90.00
Space group F-43m (No. 216)
Symmetry-distinct sites (fractional):
Zr 0.000 0.000 0.000
Al 0.000 0.000 0.500
Al 0.250 0.250 0.250
Tc 0.250 0.250 0.750

Values from the calculation:
total magnetization: 0.0 μB per cell

Record 2
Zr2Al3Tc | PBE | relaxed

Lattice parameters (Å, degrees): 5.2998 5.2998 8.6637 90.00 90.00 120.00
Space group P6_3/mmc (No. 194)
Symmetry-distinct sites (fractional):
Zr 0.3333 0.6667 0.0521
Al 0.1659 0.3317 0.7500
Tc 0.0000 0.0000 0.0000

Values from the calculation:
total magnetization: 0.0 μB per cell

Record 3
YTmAlTe3 | PBE | relaxed

Lattice parameters (Å, degrees): 4.071 15.249 10.422 90.00 90.00 90.00
Space group Cmcm (No. 63)
Symmetry-distinct sites (fractional):
Y 0.000 0.217 0.250
Tm 0.000 0.000 0.000
Al 0.000 0.477 0.750
Te 0.000 0.121 0.750
Te 0.000 0.349 0.545

Values from the calculation:
total magnetization: 0.0 μB per cell

Record 4
YTmAlTe3 | PBE | relaxed

Lattice parameters (Å, degrees): 4.058 15.297 10.457 90.00 90.00 90.00
Space group Cmcm (No. 63)
Symmetry-distinct sites (fractional):
Y 0.000 0.000 0.000
Tm 0.000 0.218 0.250
Al 0.000 0.477 0.750
Te 0.000 0.125 0.750
Te 0.000 0.347 0.549

Values from the calculation:
total magnetization: 0.0 μB per cell

Record 5
Al2ZnTe4 | PBE | relaxed

Lattice parameters (Å, degrees): 11.628 11.628 11.628 90.00 90.00 90.00
Space group Fd-3m (No. 227, origin choice 2)
Symmetry-distinct sites (fractional):
Al 0.000 0.000 0.000
Zn 0.125 0.125 0.625
Te 0.009 0.009 0.241

Record 6
Al2ZnTe | PBE | relaxed

Lattice parameters (Å, degrees): 6.925 6.925 6.925 90.00 90.00 90.00
Space group F-43m (No. 216)
Symmetry-distinct sites (fractional):
Al 0.000 0.000 0.000
Al 0.250 0.250 0.250
Zn 0.250 0.250 0.750
Te 0.000 0.000 0.500

Record 7
Th3Al | PBE | relaxed

Lattice parameters (Å, degrees): 6.9360 6.9360 5.5532 90.00 90.00 120.00
Space group P6_3/mmc (No. 194)
Symmetry-distinct sites (fractional):
Th 0.1752 0.3504 0.2500
Al 0.3333 0.6667 0.7500

Values from the calculation:
total magnetization: 0.0 μB per cell

Record 8
ThAl2 | PBE | relaxed

Lattice parameters (Å, degrees): 5.887 5.887 5.712 90.00 90.00 90.00
Space group P4_2/mnm (No. 136)
Symmetry-distinct sites (fractional):
Th 0.000 0.000 0.000
Al 0.148 0.148 0.500

Values from the calculation:
total magnetization: 0.0 μB per cell

Number 1: energy -110.750 eV/cell, density 6.1 g/cm³. Number 2: energy -83.888 eV/cell, density 5.7 g/cm³. Number 3: energy -117.709 eV/cell, density 6.9 g/cm³. Number 4: energy -117.755 eV/cell, density 6.8 g/cm³. Number 5: energy -192.637 eV/cell, density 5.3 g/cm³. Number 6: energy -42.920 eV/cell, density 4.9 g/cm³. Number 7: energy -52.552 eV/cell, density 10.4 g/cm³. Number 8: energy -25.434 eV/cell, density 4.8 g/cm³.